Entry 1:
This record from Alexandria describes a relaxed structure of Sm6Tl5Ag. The functional is PBE.

Values from the calculation:
Crystal system ... orthorhombic
Energy above the most stable polymorph in this dataset ... 0 meV/atom

```
data_Sm6Tl5Ag
_symmetry_space_group_name_H-M 'C m m m'
_symmetry_Int_Tables_number 65
_symmetry_space_group_name_Hall '-C 2 2'
_cell_length_a 5.4412
_cell_length_b 16.3321
_cell_length_c 7.6751
_cell_angle_alpha 90.00
_cell_angle_beta 90.00
_cell_angle_gamma 90.00
loop_
_atom_site_label
_atom_site_type_symbol
_atom_site_fract_x
_atom_site_fract_y
_atom_site_fract_z
Sm1 Sm 0.0000 0.0000 0.2442
Sm2 Sm 0.0000 0.3359 0.2459
Tl1 Tl 0.0000 0.1634 0.0000
Tl2 Tl 0.0000 0.1673 0.5000
Tl3 Tl 0.0000 0.5000 0.5000
Ag1 Ag 0.0000 0.5000 0.0000
```

---

Entry 2:
This record from Alexandria describes a relaxed structure of TbMg2Zn. The functional is PBE.

Values from the calculation:
Crystal system ... monoclinic

```
data_TbMg2Zn
_symmetry_space_group_name_H-M 'C 1 m 1'
_symmetry_Int_Tables_number 8
_cell_length_a 5.8785
_cell_length_b 3.3207
_cell_length_c 10.0076
_cell_angle_alpha 90.00
_cell_angle_beta 101.89
_cell_angle_gamma 90.00
loop_
_symmetry_equiv_pos_as_xyz
'x,y,z'
'x,-y,z'
'x+1/2,y+1/2,z'
'x+1/2,-y+1/2,z'
loop_
_atom_site_label
_atom_site_type_symbol
_atom_site_fract_x
_atom_site_fract_y
_atom_site_fract_z
Tb1 Tb 0.0000 0.0000 0.0000
Mg1 Mg 0.2275 0.0000 0.7153
Mg2 Mg 0.4218 0.0000 0.2880
Zn1 Zn 0.3233 0.5000 0.5018
```

---

Entry 3:
This record from Alexandria describes a relaxed structure of CaMgCuPb. The functional is PBE.

Values from the calculation:
Crystal system ... cubic

```
data_CaMgCuPb
_symmetry_space_group_name_H-M 'F -4 3 m'
_symmetry_Int_Tables_number 216
_symmetry_space_group_name_Hall 'F -4 2 3'
_cell_length_a 7.1797
_cell_length_b 7.1797
_cell_length_c 7.1797
_cell_angle_alpha 90.00
_cell_angle_beta 90.00
_cell_angle_gamma 90.00
loop_
_atom_site_label
_atom_site_type_symbol
_atom_site_fract_x
_atom_site_fract_y
_atom_site_fract_z
Ca1 Ca 0.0000 0.0000 0.0000
Mg1 Mg 0.0000 0.0000 0.5000
Cu1 Cu 0.2500 0.2500 0.7500
Pb1 Pb 0.2500 0.2500 0.2500
```

---

Entry 4:
This record from Alexandria describes a relaxed structure of Ca2TlTc. The functional is PBE.

Values from the calculation:
Crystal system ... orthorhombic
Energy above the most stable polymorph in this dataset ... 13 meV/atom

```
data_Ca2TlTc
_symmetry_space_group_name_H-M 'A m m 2'
_symmetry_Int_Tables_number 38
_cell_length_a 4.8352
_cell_length_b 3.6071
_cell_length_c 12.0459
_cell_angle_alpha 90.00
_cell_angle_beta 90.00
_cell_angle_gamma 90.00
loop_
_symmetry_equiv_pos_as_xyz
'x,y,z'
'-x,-y,z'
'-x,y,z'
'x,-y,z'
'x,y+1/2,z+1/2'
'-x,-y+1/2,z+1/2'
'-x,y+1/2,z+1/2'
'x,-y+1/2,z+1/2'
loop_
_atom_site_label
_atom_site_type_symbol
_atom_site_fract_x
_atom_site_fract_y
_atom_site_fract_z
Ca1 Ca 0.0000 0.0000 0.0000
Ca2 Ca 0.5000 0.0000 0.3135
Tl1 Tl 0.0000 0.0000 0.7173
Tc1 Tc 0.5000 0.0000 0.5921
```

---

| no. | energy relative to the elements (meV per atom) |
| --- | --- |
| 1 | -354 |
| 2 | 37 |
| 3 | -140 |
| 4 | 309 |